This record from the Alexandria database describes a relaxed ZrTa2Ru crystal. The functional is PBE.

a = 5.373 Å, b = 5.373 Å, c = 2.982 Å
α = 79.53°, β = 79.53°, γ = 117.76°
Fractional coordinates of all 4 atoms:
Ta1 0.500 0.500 0.000
Ta2 0.000 0.000 0.000
Zr1 0.500 0.000 0.500
Ru1 0.000 0.500 0.500

DFT total energy: -10.4685 eV per atom
symmetry: C2/m
crystal system: monoclinic
energy of formation: -0.3 eV/f.u.